! YCr2Cl | the Alexandria database | PBE | optimized geometry; values from VASP
&SYSTEM
  ibrav = 0, nat = 4, ntyp = 3
/
ATOMIC_SPECIES
Cr 52.00 Cr.upf
Cl 35.45 Cl.upf
Y 88.91 Y.upf
ATOMIC_POSITIONS crystal
Cr 0.000 0.000 0.000
Cl 0.221 0.721 0.500
Y 0.483 0.483 0.000
Cr 0.797 0.297 0.500
CELL_PARAMETERS angstrom
-1.613 0.841 5.093
2.357 -3.850 2.979
1.094 4.264 -3.142
! **Volume**: 83 Å³/cell
! **Size of the total moment**: 0.061 μB/atom
! **Space group**: Imm2 (44)
! **Polymorph energy (0 for the lowest one)**: 31.81 kJ/mol of atoms
! **ΔE_f (raw)**: 0.194 eV per atom



! NaTb3Pm2S6 | the Alexandria database | PBE | optimized geometry; values from VASP
&SYSTEM
  ibrav = 0, nat = 12, ntyp = 4
/
ATOMIC_SPECIES
Na 22.99 Na.upf
S 32.06 S.upf
Tb 158.93 Tb.upf
Pm 145.00 Pm.upf
ATOMIC_POSITIONS crystal
Na 0.500 0.000 0.000
S 0.669 0.077 0.337
Tb 0.500 0.500 0.000
S 0.331 0.923 0.663
Tb 0.165 0.827 0.330
Pm 0.169 0.341 0.339
Tb 0.835 0.173 0.670
S 0.337 0.411 0.675
S 0.001 0.745 0.002
S 0.663 0.589 0.325
Pm 0.831 0.659 0.661
S 0.999 0.255 0.998
CELL_PARAMETERS angstrom
3.963 0.000 0.000
0.000 7.996 0.273
-1.981 -2.318 8.383
! **Volume**: 268 Å³/cell
! **Size of the total moment**: 0.000 μB/atom
! **Space group**: C2/m (12)
! **ΔE_f (raw)**: -1.971 eV per atom



! LiPrErMg | the Alexandria database | PBE | optimized geometry; values from VASP
&SYSTEM
  ibrav = 0, nat = 4, ntyp = 4
/
ATOMIC_SPECIES
Mg 24.30 Mg.upf
Er 167.26 Er.upf
Li 6.94 Li.upf
Pr 140.91 Pr.upf
ATOMIC_POSITIONS crystal
Mg 0.750 0.750 0.750
Er 0.000 0.000 0.000
Li 0.250 0.250 0.250
Pr 0.500 0.500 0.500
CELL_PARAMETERS angstrom
5.391 0.000 0.000
2.696 4.669 0.000
2.696 1.556 4.402
! **Volume**: 111 Å³/cell
! **Size of the total moment**: 0.002 μB/atom
! **Space group**: F-43m (216)
! **ΔE_f**: 0.031 eV per atom



! LiTiAl | the Alexandria database | PBE | optimized geometry; values from VASP
&SYSTEM
  ibrav = 0, nat = 6, ntyp = 3
/
ATOMIC_SPECIES
Ti 47.87 Ti.upf
Al 26.98 Al.upf
Li 6.94 Li.upf
ATOMIC_POSITIONS crystal
Ti 0.000 0.082 0.000
Al 0.500 0.243 0.500
Li 0.000 0.413 0.000
Ti 0.500 0.918 0.500
Li 0.500 0.587 0.500
Al 0.000 0.757 0.000
CELL_PARAMETERS angstrom
-2.854 -0.225 0.012
0.590 -7.229 4.791
-0.160 2.212 3.358
! **Volume**: 100 Å³/cell
! **Size of the total moment**: 0.000 μB/atom
! **Space group**: Pmmn (59)
! **Polymorph energy (0 for the lowest one)**: 3.27 kJ/mol of atoms
! **ΔE_f**: -0.174 eV per atom



! DyEr5P6 | the Alexandria database | PBE | optimized geometry; values from VASP
&SYSTEM
  ibrav = 0, nat = 12, ntyp = 3
/
ATOMIC_SPECIES
Er 167.26 Er.upf
P 30.97 P.upf
Dy 162.50 Dy.upf
ATOMIC_POSITIONS crystal
Er 0.500 0.166 0.667
P 0.251 0.582 0.335
Er 0.000 0.667 0.667
P 0.251 0.251 0.000
P 0.749 0.749 0.000
Dy 0.000 0.000 0.000
P 0.251 0.916 0.665
Er 0.000 0.333 0.333
Er 0.500 0.834 0.333
P 0.749 0.418 0.665
Er 0.500 0.500 0.000
P 0.749 0.084 0.335
CELL_PARAMETERS angstrom
-1.761 4.030 5.296
-6.864 0.265 0.498
-3.352 -4.600 3.877
! **Volume**: 267 Å³/cell
! **Size of the total moment**: 0.000 μB/atom
! **Space group**: C2/m (12)
! **ΔE_f**: -1.614 eV per atom



! MnNiAu3 | the Alexandria database | PBE | optimized geometry; values from VASP
&SYSTEM
  ibrav = 0, nat = 20, ntyp = 3
/
ATOMIC_SPECIES
Au 196.97 Au.upf
Mn 54.94 Mn.upf
Ni 58.69 Ni.upf
ATOMIC_POSITIONS crystal
Au 0.750 0.354 0.045
Au 0.250 0.659 0.747
Mn 0.750 0.901 0.647
Au 0.250 0.146 0.545
Au 0.750 0.914 0.862
Ni 0.750 0.850 0.055
Ni 0.250 0.150 0.945
Au 0.750 0.854 0.455
Au 0.250 0.586 0.362
Mn 0.750 0.401 0.853
Au 0.750 0.341 0.253
Au 0.750 0.414 0.638
Au 0.250 0.646 0.955
Au 0.250 0.159 0.753
Ni 0.750 0.350 0.445
Au 0.250 0.086 0.138
Ni 0.250 0.650 0.555
Mn 0.250 0.099 0.353
Au 0.750 0.841 0.247
Mn 0.250 0.599 0.147
CELL_PARAMETERS angstrom
4.068 0.000 0.000
0.000 5.599 0.000
0.000 0.000 14.065
! **Volume**: 320 Å³/cell
! **Size of the total moment**: 0.907 μB/atom
! **Space group**: Pnma (62)
! **Polymorph energy (0 for the lowest one)**: 0.00 kJ/mol of atoms
! **ΔE_f**: -0.004 eV per atom



Please write out number 3 again, unchanged.
! LiPrErMg | the Alexandria database | PBE | optimized geometry; values from VASP
&SYSTEM
  ibrav = 0, nat = 4, ntyp = 4
/
ATOMIC_SPECIES
Mg 24.30 Mg.upf
Er 167.26 Er.upf
Li 6.94 Li.upf
Pr 140.91 Pr.upf
ATOMIC_POSITIONS crystal
Mg 0.750 0.750 0.750
Er 0.000 0.000 0.000
Li 0.250 0.250 0.250
Pr 0.500 0.500 0.500
CELL_PARAMETERS angstrom
5.391 0.000 0.000
2.696 4.669 0.000
2.696 1.556 4.402
! **Volume**: 111 Å³/cell
! **Size of the total moment**: 0.002 μB/atom
! **Space group**: F-43m (216)
! **ΔE_f**: 0.031 eV per atom



Question: volume of number 6 (MnNiAu3)?
Answer: 320 Å³/cell



Question: What is the formula in the third record?
Answer: LiPrErMg